InW3N: relaxed, GGA-PBEsol.

Computed properties:
For the raw formation energy, the calculation gives 4.334 eV per atom. The value obtained for the density of states at the Fermi level is 6.76 states/eV per cell. Its raw total energy is -6.25 eV per atom.

a = 4.813 Å, b = 4.813 Å, c = 4.813 Å
α = 90.00°, β = 90.00°, γ = 90.00°
Space group Pm-3m (No. 221)
One atom of each set of equivalent atoms:
In 0.000 0.000 0.000
W 0.000 0.000 0.500
N 0.500 0.500 0.500